First-principles (PBE+U) data for an optimized crystal structure of BaCrIn2F8, as listed in Alexandria via LeMat-Bulk.

abc: 5.5681 5.6124 7.2263
angles: 86.42 84.56 80.98
Sites, in units of the cell vectors:
Ba 0.0000 0.0000 0.0000
Cr 0.0000 0.0000 0.5000
In 0.4160 0.4157 0.6755
In 0.5840 0.5843 0.3245
F 0.0859 0.6720 0.7281
F 0.2298 0.8334 0.2960
F 0.2638 0.0964 0.6375
F 0.3557 0.3057 0.9523
F 0.6443 0.6943 0.0477
F 0.7362 0.9036 0.3625
F 0.7702 0.1666 0.7040
F 0.9141 0.3280 0.2719

Output
For the total energy, the calculation gives -5.18 eV/atom. The value obtained for the volume is 221.8 Å³ per cell. Its space group is P-1 (2).